# CaYPb4 | Alexandria via LeMat-Bulk | GGA-PBE | optimized geometry
# DOS(E_F): 0.770 states/eV per atom
# Spin magnetization: 0.000 Bohr magnetons per cell
# Electronic total energy: -96.59 eV per cell
data_CaYPb4
_cell_length_a 9.165
_cell_length_b 9.165
_cell_length_c 9.165
_cell_angle_alpha 90.00
_cell_angle_beta 90.00
_cell_angle_gamma 90.00
_symmetry_space_group_name_H-M 'F -4 3 m'
_symmetry_Int_Tables_number 216
_symmetry_space_group_name_Hall 'F -4 2 3'
loop_
_atom_site_label
_atom_site_type_symbol
_atom_site_fract_x
_atom_site_fract_y
_atom_site_fract_z
Ca1 Ca 0.000 0.000 0.000
Y1 Y 0.250 0.250 0.250
Pb1 Pb 0.125 0.125 0.625